Here is a relaxed structure of K2NiIr3O12 from Alexandria. Energies are from GGA+U.

Summary:
The space group is R-3m. The value obtained for the total energy is -5.86 eV per atom.

```
data_K2NiIr3O12
_chemical_formula_sum 'K2 Ni1 Ir3 O12'
_cell_length_a 7.1152
_cell_length_b 7.1152
_cell_length_c 7.1152
_cell_angle_alpha 61.22
_cell_angle_beta 61.22
_cell_angle_gamma 61.22
_space_group_name_H-M_alt 'P 1'
_space_group_IT_number 1
loop_
_space_group_symop_operation_xyz
'x,y,z'
loop_
_atom_site_label
_atom_site_type_symbol
_atom_site_fract_x
_atom_site_fract_y
_atom_site_fract_z
K1 K 0.1210 0.1210 0.1210
K2 K 0.8790 0.8790 0.8790
Ni1 Ni 0.5000 0.5000 0.5000
Ir1 Ir 0.0000 0.5000 0.5000
Ir2 Ir 0.5000 0.0000 0.5000
Ir3 Ir 0.5000 0.5000 0.0000
O1 O 0.1712 0.5713 0.5713
O2 O 0.1784 0.1784 0.5783
O3 O 0.1784 0.5783 0.1784
O4 O 0.4217 0.8216 0.8216
O5 O 0.4287 0.4287 0.8288
O6 O 0.4287 0.8288 0.4287
O7 O 0.5713 0.1712 0.5713
O8 O 0.5713 0.5713 0.1712
O9 O 0.5783 0.1784 0.1784
O10 O 0.8216 0.4217 0.8216
O11 O 0.8216 0.8216 0.4217
O12 O 0.8288 0.4287 0.4287
```